Sm5Dy4Sc: relaxed, PBE.

crystal system	tetragonal
formation enthalpy at 0 K	0.235	eV/atom
energy above the lowest structure with this stoichiometry	205.5	meV per atom
N(E_F)	1.31	states/eV/atom

The structure in POSCAR format:
```
Sm5Dy4Sc
1.0
-5.271 5.271 2.946
5.271 -5.271 2.946
5.271 5.271 -2.946
Sm Dy Sc
5 4 1
Direct
0.000 0.000 0.000
0.105 0.105 0.628
0.105 0.478 0.000
0.478 0.105 0.000
0.478 0.478 0.372
0.095 0.771 0.324
0.447 0.771 0.676
0.771 0.095 0.324
0.771 0.447 0.676
0.536 0.536 0.000
```

=====

Sm3Dy4Sc2: relaxed, PBE.

crystal system	monoclinic
formation enthalpy at 0 K	0.114	eV/atom
energy above the lowest structure with this stoichiometry	72.6	meV per atom
N(E_F)	1.50	states/eV/atom

The structure in POSCAR format:
```
Sm3Dy4Sc2
1.0
8.462 -4.959 0.000
8.462 4.959 0.000
-0.600 0.000 6.662
Sm Dy Sc
6 8 4
Direct
0.010 0.990 0.750
0.299 0.399 0.763
0.399 0.299 0.263
0.601 0.701 0.737
0.701 0.601 0.237
0.990 0.010 0.250
0.066 0.313 0.393
0.299 0.670 0.485
0.313 0.066 0.893
0.330 0.701 0.015
0.670 0.299 0.985
0.687 0.934 0.107
0.701 0.330 0.515
0.934 0.687 0.607
0.045 0.619 0.125
0.381 0.955 0.375
0.619 0.045 0.625
0.955 0.381 0.875
```

=====

Sm5Dy2Sc2: relaxed, PBE.

crystal system	monoclinic
formation enthalpy at 0 K	0.024	eV/atom
energy above the lowest structure with this stoichiometry	0.0	meV per atom
N(E_F)	1.43	states/eV/atom

The structure in POSCAR format:
```
Sm5Dy2Sc2
1.0
9.220 -1.782 0.000
9.220 1.782 0.000
-4.107 0.000 8.522
Sm Dy Sc
5 2 2
Direct
0.000 0.000 0.000
0.184 0.184 0.332
0.335 0.335 0.008
0.665 0.665 0.992
0.816 0.816 0.668
0.141 0.141 0.655
0.859 0.859 0.345
0.483 0.483 0.664
0.517 0.517 0.336
```

=====

SmDy8Sc2: relaxed, PBE.

crystal system	monoclinic
formation enthalpy at 0 K	0.172	eV/atom
energy above the lowest structure with this stoichiometry	48.3	meV per atom
N(E_F)	1.51	states/eV/atom

The structure in POSCAR format:
```
SmDy8Sc2
1.0
4.426 -7.950 0.000
4.426 7.950 0.000
-3.173 0.000 4.830
Sm Dy Sc
1 8 2
Direct
0.000 0.000 0.000
0.097 0.340 0.676
0.208 0.792 0.000
0.340 0.097 0.676
0.430 0.430 0.208
0.570 0.570 0.792
0.660 0.903 0.324
0.792 0.208 0.000
0.903 0.660 0.324
0.310 0.690 0.500
0.690 0.310 0.500
```

=====

Sm3Dy6Sc: relaxed, PBE.

crystal system	orthorhombic
formation enthalpy at 0 K	0.146	eV/atom
energy above the lowest structure with this stoichiometry	0.0	meV per atom
N(E_F)	1.42	states/eV/atom

The structure in POSCAR format:
```
Sm3Dy6Sc
1.0
5.442 -9.439 0.000
5.442 9.439 0.000
0.000 0.000 6.230
Sm Dy Sc
6 12 2
Direct
0.112 0.888 0.500
0.220 0.445 0.113
0.445 0.220 0.613
0.555 0.780 0.113
0.780 0.555 0.613
0.888 0.112 0.000
0.035 0.455 0.704
0.120 0.211 0.524
0.211 0.120 0.024
0.223 0.777 0.930
0.454 0.546 0.661
0.455 0.035 0.204
0.545 0.965 0.704
0.546 0.454 0.161
0.777 0.223 0.430
0.789 0.880 0.524
0.880 0.789 0.024
0.965 0.545 0.204
0.297 0.703 0.441
0.703 0.297 0.941
```

=====

SmDy4Sc8: relaxed, PBE.

crystal system	trigonal
formation enthalpy at 0 K	0.601	eV/atom
N(E_F)	1.87	states/eV/atom

The structure in POSCAR format:
```
SmDy4Sc8
1.0
5.230 3.020 4.257
-5.230 3.020 4.257
0.000 -6.039 4.257
Sm Dy Sc
1 4 8
Direct
0.000 0.000 0.000
0.000 0.000 0.500
0.000 0.500 0.000
0.500 0.000 0.000
0.500 0.500 0.500
0.260 0.738 0.738
0.261 0.261 0.261
0.262 0.262 0.740
0.262 0.740 0.262
0.738 0.260 0.738
0.738 0.738 0.260
0.739 0.739 0.739
0.740 0.262 0.262
```